(1)
DFT (PBE) results for a relaxed Nd2Mg3Hg2 crystal.

```
Nd2Mg3Hg2
1.0
5.394 -2.369 0.000
5.394 2.369 0.000
-2.803 0.000 7.102
Nd Mg Hg
2 3 2
Direct
0.138 0.138 0.277
0.862 0.862 0.723
0.381 0.381 0.068
0.500 0.500 0.500
0.619 0.619 0.932
0.158 0.158 0.712
0.842 0.842 0.288
```

Summary:
The space-group type is C2/m (12). The calculation puts the formation energy at -320 meV/atom. The value obtained for the raw total energy is -17.2 eV per formula unit. The value obtained for the density of states at the Fermi level is 5.26 states/eV/cell.

(2)
DFT (PBE) results for a relaxed Ho4InAu5 crystal.

```
Ho4InAu5
1.0
3.586 0.000 0.000
0.000 3.586 0.000
0.000 0.000 17.647
Ho In Au
4 1 5
Direct
0.000 0.000 0.102
0.000 0.000 0.307
0.000 0.000 0.693
0.000 0.000 0.898
0.000 0.000 0.500
0.500 0.500 0.000
0.500 0.500 0.202
0.500 0.500 0.397
0.500 0.500 0.603
0.500 0.500 0.798
```

Summary:
The space-group type is P4/mmm (123). The calculation puts the formation energy at -769 meV/atom. The value obtained for the raw total energy is -45.1 eV per formula unit. The value obtained for the density of states at the Fermi level is 5.29 states/eV/cell.

(3)
DFT (PBE) results for a relaxed LaS4Cl crystal.

```
LaS4Cl
1.0
5.237 0.000 0.000
-0.675 5.886 0.000
-0.087 -1.131 10.258
La S Cl
2 8 2
Direct
0.175 0.432 0.267
0.825 0.568 0.733
0.165 0.774 0.511
0.179 0.948 0.222
0.194 0.055 0.040
0.474 0.316 0.514
0.526 0.684 0.486
0.806 0.945 0.960
0.821 0.052 0.778
0.835 0.226 0.489
0.317 0.544 0.837
0.683 0.456 0.163
```

Summary:
The space-group type is P-1 (2). The value obtained for the raw total energy is -29.4 eV per formula unit. Its uncorrected formation energy is -23.50 kcal/mol of atoms.

(4)
DFT (PBE) results for a relaxed NiC2 crystal.

```
NiC2
1.0
-1.477 1.477 6.362
1.477 -1.477 6.362
1.477 1.477 -6.362
Ni C
2 4
Direct
0.192 0.192 0.000
0.808 0.808 0.000
0.346 0.346 0.000
0.449 0.449 0.000
0.551 0.551 0.000
0.654 0.654 0.000
```

Summary:
The value obtained for the relative energy among the computed polymorphs is 0.372 eV/atom. The space-group type is I4/mmm (139). The calculation puts the formation energy at 791 meV/atom. The value obtained for the raw total energy is -21.9 eV per formula unit. The value obtained for the density of states at the Fermi level is 1.29 states/eV/cell.

(5)
DFT (PBE) results for a relaxed CaLaHo2Sb4 crystal.

```
CaLaHo2Sb4
1.0
7.697 0.000 0.000
0.000 4.457 0.000
-2.572 0.000 7.406
Ca La Ho Sb
1 1 2 4
Direct
0.000 0.000 0.000
0.500 0.500 0.000
0.000 0.500 0.500
0.500 0.000 0.500
0.243 0.000 0.735
0.254 0.500 0.264
0.746 0.500 0.736
0.757 0.000 0.265
```

Summary:
The space-group type is P2/m (10). The value obtained for the raw total energy is -41.0 eV per formula unit. The value obtained for the density of states at the Fermi level is 4.02 states/eV/cell. Its uncorrected formation energy is -24.42 kcal/mol of atoms.

(6)
DFT (PBE) results for a relaxed Tb4TlSbN crystal.

```
Tb4TlSbN
1.0
3.347 -7.988 0.000
3.347 7.988 0.000
0.000 0.000 6.696
Tb Tl Sb N
8 2 2 2
Direct
0.000 0.500 0.000
0.000 0.500 0.500
0.089 0.911 0.750
0.409 0.591 0.750
0.500 0.000 0.000
0.500 0.000 0.500
0.591 0.409 0.250
0.911 0.089 0.250
0.108 0.892 0.250
0.892 0.108 0.750
0.392 0.608 0.250
0.608 0.392 0.750
0.247 0.753 0.750
0.753 0.247 0.250
```

Summary:
The space-group type is Cmcm (63). The value obtained for the raw total energy is -39.7 eV per formula unit. The value obtained for the density of states at the Fermi level is 8.45 states/eV/cell. Its uncorrected formation energy is -21.07 kcal/mol of atoms.

(7)
DFT (PBE) results for a relaxed AcCeCuAu crystal.

```
AcCeCuAu
1.0
0.000 3.755 3.755
3.755 0.000 3.755
3.755 3.755 0.000
Ac Ce Cu Au
1 1 1 1
Direct
0.000 0.000 0.000
0.500 0.500 0.500
0.250 0.250 0.250
0.750 0.750 0.750
```

Summary:
The space-group type is F-43m (216). The calculation puts the formation energy at -322 meV/atom. The value obtained for the raw total energy is -18.7 eV per formula unit. The value obtained for the density of states at the Fermi level is 9.06 states/eV/cell.

(8)
DFT (PBE) results for a relaxed TeP2Cl crystal.

```
TeP2Cl
1.0
1.906 -3.930 0.000
1.906 3.930 0.000
0.000 0.000 7.206
Te P Cl
1 2 1
Direct
0.000 0.000 0.000
0.500 0.500 0.244
0.500 0.500 0.756
0.000 0.000 0.500
```

Summary:
The value obtained for the relative energy among the computed polymorphs is 0.729 eV/atom. The space-group type is Cmmm (65). The value obtained for the raw total energy is -13.3 eV per formula unit. The value obtained for the density of states at the Fermi level is 3.02 states/eV/cell. Its uncorrected formation energy is 14.58 kcal/mol of atoms.

What did the eighth record say?
DFT (PBE) results for a relaxed TeP2Cl crystal.

```
TeP2Cl
1.0
1.906 -3.930 0.000
1.906 3.930 0.000
0.000 0.000 7.206
Te P Cl
1 2 1
Direct
0.000 0.000 0.000
0.500 0.500 0.244
0.500 0.500 0.756
0.000 0.000 0.500
```

Summary:
The value obtained for the relative energy among the computed polymorphs is 0.729 eV/atom. The space-group type is Cmmm (65). The value obtained for the raw total energy is -13.3 eV per formula unit. The value obtained for the density of states at the Fermi level is 3.02 states/eV/cell. Its uncorrected formation energy is 14.58 kcal/mol of atoms.